[1]
Ca3MgNi2H8: optimized geometry, PBE-GGA.

a = 5.065 Å, b = 5.065 Å, c = 6.998 Å
α = 90.00°, β = 90.00°, γ = 120.00°
Atoms (fractional coordinates):
Ca 0.000 0.000 0.000
Ca 0.333 0.667 0.704
Ca 0.667 0.333 0.296
Mg 0.000 0.000 0.500
Ni 0.333 0.667 0.248
Ni 0.667 0.333 0.752
H 0.159 0.317 0.304
H 0.159 0.841 0.304
H 0.317 0.159 0.696
H 0.333 0.667 0.025
H 0.667 0.333 0.975
H 0.683 0.841 0.304
H 0.841 0.159 0.696
H 0.841 0.683 0.696

## Properties
E (eV per atom): -3.6658
Space group: P-3m1, No. 164

***

[2]
ZrCdMo2: optimized geometry, PBE-GGA.

a = 2.761 Å, b = 4.399 Å, c = 6.073 Å
α = 90.00°, β = 90.00°, γ = 90.00°
Atoms (fractional coordinates):
Zr 0.000 0.000 0.000
Cd 0.500 0.500 0.264
Mo 0.000 0.000 0.523
Mo 0.500 0.500 0.739

## Properties
E (eV per atom): -7.4796
Space group: Pmm2, No. 25
Formation energy (kJ/mol of formula units): 116

***

[3]
TiAl2Ir: optimized geometry, PBE-GGA.

a = 5.699 Å, b = 5.699 Å, c = 5.699 Å
α = 102.53°, β = 102.53°, γ = 124.47°
Atoms (fractional coordinates):
Ti 0.000 0.000 0.000
Ti 0.750 0.250 0.500
Al 0.159 0.625 0.034
Al 0.375 0.409 0.534
Al 0.591 0.125 0.966
Al 0.875 0.841 0.466
Ir 0.250 0.750 0.500
Ir 0.500 0.500 0.000

## Properties
E (eV per atom): -6.2779
Space group: I-42d, No. 122
Formation energy (kJ/mol of formula units): -84